Here is a geometry-optimized TbNd2SmH structure from Alexandria. Energies are from PBE.

Geometry as CIF:
```
data_TbNd2SmH
_chemical_formula_sum 'Tb1 Nd2 Sm1 H1'
_cell_length_a 5.138
_cell_length_b 5.138
_cell_length_c 5.087
_cell_angle_alpha 90.00
_cell_angle_beta 90.00
_cell_angle_gamma 90.00
_symmetry_space_group_name_H-M 'P 4/m m m'
_symmetry_Int_Tables_number 123
_symmetry_space_group_name_Hall '-P 4 2'
loop_
_atom_site_label
_atom_site_type_symbol
_atom_site_fract_x
_atom_site_fract_y
_atom_site_fract_z
Tb1 Tb 0.000 0.000 0.000
Nd1 Nd 0.000 0.500 0.500
Sm1 Sm 0.500 0.500 0.000
H1 H 0.000 0.000 0.500
```

Calculated values
M_tot ... 0.0 μB/f.u.
Final energy ... -23.10 eV for the cell shown